Entry 1:
{
  "formula": "BaCaZr2",
  "functional": "PBE-GGA",
  "state": "optimized geometry",
  "final_energy_ev_per_atom": -4.7056,
  "delta_e_f_ev_per_atom": 0.55,
  "cell": [[5.985, -1.663, 0.000], [5.985, 1.663, 0.000], [-0.556, 0.000, 6.330]],
  "species": ["Ba", "Ca", "Zr", "Zr"],
  "frac_coords": [[0.000, 0.000, 0.000], [0.500, 0.500, 0.500], [0.247, 0.247, 0.705], [0.753, 0.753, 0.295]]
}


Entry 2:
{
  "formula": "BaCaZr2",
  "functional": "PBE-GGA",
  "state": "optimized geometry",
  "final_energy_ev_per_atom": -4.9513,
  "delta_e_f_ev_per_atom": 0.30,
  "cell": [[3.895, 0.000, 0.000], [0.000, 3.874, 0.000], [-0.003, 0.000, 9.223]],
  "species": ["Ba", "Ca", "Zr", "Zr"],
  "frac_coords": [[0.000, 0.000, 0.000], [0.497, 0.500, 0.636], [0.498, 0.500, 0.276], [0.998, 0.000, 0.398]]
}


Entry 3:
{
  "formula": "BaCaZr4",
  "functional": "PBE-GGA",
  "state": "optimized geometry",
  "final_energy_ev_per_atom": -5.8528,
  "delta_e_f_ev_per_atom": 0.50,
  "cell": [[0.000, 4.458, 4.458], [4.458, 0.000, 4.458], [4.458, 4.458, 0.000]],
  "species": ["Ba", "Ca", "Zr", "Zr", "Zr", "Zr"],
  "frac_coords": [[0.000, 0.000, 0.000], [0.750, 0.750, 0.750], [0.378, 0.378, 0.378], [0.378, 0.378, 0.867], [0.378, 0.867, 0.378], [0.867, 0.378, 0.378]]
}